No. 1
{
  "formula": "DyPaMnTc",
  "functional": "GGA-PBE",
  "state": "relaxed",
  "lattice": [[0.000, 3.415, 3.415], [3.415, 0.000, 3.415], [3.415, 3.415, 0.000]],
  "species": ["Dy", "Pa", "Mn", "Tc"],
  "fractional_positions": [[0.000, 0.000, 0.000], [0.500, 0.500, 0.500], [0.750, 0.750, 0.750], [0.250, 0.250, 0.250]],
  "mass_density_g_cm3": 11.39,
  "final_energy_ev_per_atom": -8.36,
  "formation_energy_mev_per_atom": 44,
  "n_ef_per_ev_cell": 3.86
}

=====

No. 2
{
  "formula": "HfBeNi2",
  "functional": "GGA-PBE",
  "state": "relaxed",
  "lattice": [[3.028, 0.000, 0.000], [0.000, 3.028, 0.000], [0.000, 0.000, 5.617]],
  "species": ["Hf", "Be", "Ni", "Ni"],
  "fractional_positions": [[0.000, 0.000, 0.000], [0.000, 0.000, 0.500], [0.500, 0.500, 0.287], [0.500, 0.500, 0.713]],
  "mass_density_g_cm3": 9.83,
  "final_energy_ev_per_atom": -6.61,
  "formation_energy_mev_per_atom": -302,
  "n_ef_per_ev_cell": 1.74
}

=====

No. 3
{
  "formula": "NaSr2Gd",
  "functional": "GGA-PBE",
  "state": "relaxed",
  "lattice": [[3.941, 0.000, 0.000], [0.000, 3.941, 0.000], [0.000, 0.000, 11.207]],
  "species": ["Na", "Sr", "Sr", "Gd"],
  "fractional_positions": [[0.000, 0.000, 0.000], [0.500, 0.500, 0.256], [0.500, 0.500, 0.744], [0.000, 0.000, 0.500]],
  "de_polymorph_ev_per_atom": 0.000,
  "mass_density_g_cm3": 3.39,
  "final_energy_ev_per_atom": -4.58,
  "formation_energy_mev_per_atom": 112,
  "n_ef_per_ev_cell": 6.51
}

=====

No. 4
{
  "formula": "Lu5Si3",
  "functional": "GGA-PBE",
  "state": "relaxed",
  "lattice": [[8.237, 0.000, 0.000], [-4.119, 7.134, 0.000], [0.000, 0.000, 6.165]],
  "species": ["Lu", "Lu", "Lu", "Lu", "Lu", "Lu", "Lu", "Lu", "Lu", "Lu", "Si", "Si", "Si", "Si", "Si", "Si"],
  "fractional_positions": [[0.000, 0.242, 0.250], [0.000, 0.758, 0.750], [0.242, 0.000, 0.250], [0.242, 0.242, 0.750], [0.333, 0.667, 0.000], [0.333, 0.667, 0.500], [0.667, 0.333, 0.000], [0.667, 0.333, 0.500], [0.758, 0.000, 0.750], [0.758, 0.758, 0.250], [0.000, 0.395, 0.750], [0.000, 0.605, 0.250], [0.395, 0.000, 0.750], [0.395, 0.395, 0.250], [0.605, 0.000, 0.250], [0.605, 0.605, 0.750]],
  "e_form_raw_ev_per_atom": -0.71,
  "mass_density_g_cm3": 8.79,
  "final_energy_ev_per_atom": -5.57,
  "n_ef_per_ev_cell": 8.96
}

=====

No. 5
{
  "formula": "TiBi2Pb",
  "functional": "GGA-PBE",
  "state": "relaxed",
  "lattice": [[1.881, 1.086, 9.227], [-1.881, 1.086, 9.227], [0.000, -2.171, 9.227]],
  "species": ["Ti", "Bi", "Bi", "Pb"],
  "fractional_positions": [[0.000, 0.000, 0.000], [0.404, 0.404, 0.404], [0.599, 0.599, 0.599], [0.837, 0.837, 0.837]],
  "de_polymorph_ev_per_atom": 0.061,
  "mass_density_g_cm3": 9.89,
  "final_energy_ev_per_atom": -4.79,
  "formation_energy_mev_per_atom": 55,
  "n_ef_per_ev_cell": 2.36
}

=====

No. 6
{
  "formula": "Ba3InAu",
  "functional": "GGA-PBE",
  "state": "relaxed",
  "lattice": [[0.000, 5.354, 9.376], [3.915, 0.000, 9.376], [3.915, 5.354, 0.000]],
  "species": ["Ba", "Ba", "Ba", "Ba", "Ba", "Ba", "In", "In", "Au", "Au"],
  "fractional_positions": [[0.203, 0.203, 0.797], [0.205, 0.598, 0.402], [0.402, 0.795, 0.205], [0.598, 0.205, 0.795], [0.795, 0.402, 0.598], [0.797, 0.797, 0.203], [0.188, 0.812, 0.812], [0.812, 0.188, 0.188], [0.250, 0.250, 0.250], [0.750, 0.750, 0.750]],
  "de_polymorph_ev_per_atom": 0.000,
  "mass_density_g_cm3": 6.11,
  "final_energy_ev_per_atom": -2.82,
  "formation_energy_mev_per_atom": -468,
  "n_ef_per_ev_cell": 7.81
}

=====

No. 7
{
  "formula": "Ge7HO20",
  "functional": "GGA-PBE",
  "state": "relaxed",
  "lattice": [[7.851, 0.000, 0.000], [0.000, 7.851, 0.000], [0.000, 0.000, 7.851]],
  "species": ["Ge", "Ge", "Ge", "Ge", "Ge", "Ge", "Ge", "H", "O", "O", "O", "O", "O", "O", "O", "O", "O", "O", "O", "O", "O", "O", "O", "O", "O", "O", "O", "O"],
  "fractional_positions": [[0.000, 0.000, 0.500], [0.000, 0.500, 0.000], [0.157, 0.157, 0.843], [0.157, 0.843, 0.157], [0.500, 0.000, 0.000], [0.843, 0.157, 0.157], [0.843, 0.843, 0.843], [0.000, 0.000, 0.000], [0.110, 0.110, 0.110], [0.110, 0.890, 0.890], [0.135, 0.135, 0.618], [0.135, 0.382, 0.865], [0.135, 0.618, 0.135], [0.135, 0.865, 0.382], [0.277, 0.277, 0.277], [0.277, 0.723, 0.723], [0.382, 0.135, 0.865], [0.382, 0.865, 0.135], [0.618, 0.135, 0.135], [0.618, 0.865, 0.865], [0.723, 0.277, 0.723], [0.723, 0.723, 0.277], [0.865, 0.135, 0.382], [0.865, 0.382, 0.135], [0.865, 0.618, 0.865], [0.865, 0.865, 0.618], [0.890, 0.110, 0.890], [0.890, 0.890, 0.110]],
  "mass_density_g_cm3": 2.85,
  "final_energy_ev_per_atom": -5.38,
  "n_ef_per_ev_cell": 14.79
}

=====

No. 8
{
  "formula": "SrMn2Cr",
  "functional": "GGA-PBE",
  "state": "relaxed",
  "lattice": [[-1.775, 2.072, 6.093], [1.775, -2.072, 6.093], [1.775, 2.072, -6.093]],
  "species": ["Sr", "Mn", "Mn", "Cr"],
  "fractional_positions": [[0.000, 0.000, 0.000], [0.267, 0.767, 0.500], [0.638, 0.638, 0.000], [0.756, 0.256, 0.500]],
  "de_polymorph_ev_per_atom": 0.228,
  "mass_density_g_cm3": 4.62,
  "final_energy_ev_per_atom": -6.75,
  "formation_energy_mev_per_atom": 662,
  "n_ef_per_ev_cell": 3.71
}

=====

Copy entry 3 word for word.
{
  "formula": "NaSr2Gd",
  "functional": "GGA-PBE",
  "state": "relaxed",
  "lattice": [[3.941, 0.000, 0.000], [0.000, 3.941, 0.000], [0.000, 0.000, 11.207]],
  "species": ["Na", "Sr", "Sr", "Gd"],
  "fractional_positions": [[0.000, 0.000, 0.000], [0.500, 0.500, 0.256], [0.500, 0.500, 0.744], [0.000, 0.000, 0.500]],
  "de_polymorph_ev_per_atom": 0.000,
  "mass_density_g_cm3": 3.39,
  "final_energy_ev_per_atom": -4.58,
  "formation_energy_mev_per_atom": 112,
  "n_ef_per_ev_cell": 6.51
}